! HgPbWF6 | Alexandria | PBE with a Hubbard U | optimized geometry; values from VASP
! Total energy (eV/atom): -4.606
! Symmetry: P-31c
! Total magnetic moment (μB/cell): 4.0
&SYSTEM
  ibrav = 0, nat = 18, ntyp = 4
/
ATOMIC_SPECIES
F 19.00 F.upf
Pb 207.20 Pb.upf
W 183.84 W.upf
Hg 200.59 Hg.upf
ATOMIC_POSITIONS crystal
F 0.578 0.945 0.853
F 0.633 0.055 0.353
F 0.945 0.367 0.147
F 0.367 0.422 0.853
F 0.055 0.633 0.853
F 0.422 0.367 0.353
F 0.578 0.633 0.647
F 0.367 0.945 0.647
F 0.945 0.578 0.353
F 0.633 0.578 0.147
F 0.422 0.055 0.147
F 0.055 0.422 0.647
Pb 0.333 0.667 0.250
Pb 0.667 0.333 0.750
W 0.333 0.667 0.750
W 0.667 0.333 0.250
Hg 0.000 0.000 0.000
Hg 0.000 0.000 0.500
CELL_PARAMETERS angstrom
6.503 0.000 0.000
-3.251 5.631 0.000
0.000 0.000 10.634